(1)
Computed, not measured: crystalline Ba2CePt2O6 at its relaxed geometry at the PBE level of DFT.

CIF file:
```
data_Ba2CePt2O6
_chemical_formula_sum 'Ba6 Ce3 Pt6 O18'
_cell_length_a 6.3068
_cell_length_b 6.3068
_cell_length_c 17.6371
_cell_angle_alpha 90.00
_cell_angle_beta 90.00
_cell_angle_gamma 120.00
_symmetry_space_group_name_H-M 'R -3 m'
_symmetry_Int_Tables_number 166
_symmetry_space_group_name_Hall '-R 3 2"'
loop_
_atom_site_label
_atom_site_type_symbol
_atom_site_fract_x
_atom_site_fract_y
_atom_site_fract_z
_atom_site_occupancy
Ba1 Ba 0.0000 0.0000 0.2159 1
Ce1 Ce 0.0000 0.0000 0.0000 1
Pt1 Pt 0.0000 0.0000 0.4132 1
O1 O 0.0319 0.5160 0.7550 1
```

## Properties
Volume: 608 Å³ per cell
Fermi-level density of states: 24.55 states/eV per cell
Total magnetic moment: 3.04 μB per formula unit
Energy relative to the elements, uncorrected: -1722 meV/atom
ρ: 7.4 g/cm3


(2)
Computed, not measured: crystalline HfScSeN2 at its relaxed geometry at the PBE level of DFT.

CIF file:
```
data_HfScSeN2
_chemical_formula_sum 'Hf1 Sc1 Se1 N2'
_cell_length_a 4.040
_cell_length_b 4.040
_cell_length_c 5.066
_cell_angle_alpha 90.00
_cell_angle_beta 90.00
_cell_angle_gamma 90.00
_symmetry_space_group_name_H-M 'P 4/m m m'
_symmetry_Int_Tables_number 123
_symmetry_space_group_name_Hall '-P 4 2'
loop_
_atom_site_label
_atom_site_type_symbol
_atom_site_fract_x
_atom_site_fract_y
_atom_site_fract_z
_atom_site_occupancy
Hf1 Hf 0.000 0.000 0.000 1
Sc1 Sc 0.500 0.500 0.500 1
Se1 Se 0.500 0.500 0.000 1
N1 N 0.000 0.500 0.500 1
```

## Properties
Volume: 83 Å³ per cell
Fermi-level density of states: 3.26 states/eV per cell
Total magnetic moment: 0.26 μB per formula unit
Energy relative to the elements, uncorrected: 166 meV/atom
ρ: 6.6 g/cm3


(3)
Computed, not measured: crystalline K3ZrTe at its relaxed geometry at the PBE level of DFT.

CIF file:
```
data_K3ZrTe
_chemical_formula_sum 'K3 Zr1 Te1'
_cell_length_a 6.636
_cell_length_b 6.636
_cell_length_c 6.636
_cell_angle_alpha 90.00
_cell_angle_beta 90.00
_cell_angle_gamma 90.00
_symmetry_space_group_name_H-M 'P m -3 m'
_symmetry_Int_Tables_number 221
_symmetry_space_group_name_Hall '-P 4 2 3'
loop_
_atom_site_label
_atom_site_type_symbol
_atom_site_fract_x
_atom_site_fract_y
_atom_site_fract_z
_atom_site_occupancy
K1 K 0.000 0.000 0.500 1
Zr1 Zr 0.500 0.500 0.500 1
Te1 Te 0.000 0.000 0.000 1
```

## Properties
Volume: 292 Å³ per cell
Fermi-level density of states: 2.70 states/eV per cell
Total magnetic moment: 3.00 μB per formula unit
Energy relative to the elements, uncorrected: 435 meV/atom
ρ: 1.9 g/cm3


(4)
Computed, not measured: crystalline PrTmCdSn at its relaxed geometry at the PBE level of DFT.

CIF file:
```
data_PrTmCdSn
_chemical_formula_sum 'Pr4 Tm4 Cd4 Sn4'
_cell_length_a 7.577
_cell_length_b 7.577
_cell_length_c 7.577
_cell_angle_alpha 90.00
_cell_angle_beta 90.00
_cell_angle_gamma 90.00
_symmetry_space_group_name_H-M 'F -4 3 m'
_symmetry_Int_Tables_number 216
_symmetry_space_group_name_Hall 'F -4 2 3'
loop_
_atom_site_label
_atom_site_type_symbol
_atom_site_fract_x
_atom_site_fract_y
_atom_site_fract_z
_atom_site_occupancy
Pr1 Pr 0.000 0.000 0.000 1
Tm1 Tm 0.000 0.000 0.500 1
Cd1 Cd 0.250 0.250 0.750 1
Sn1 Sn 0.250 0.250 0.250 1
```

## Properties
Volume: 435 Å³ per cell
Fermi-level density of states: 9.82 states/eV per cell
Total magnetic moment: 0.00 μB per formula unit
E_form: -0.486 eV per atom
ρ: 8.3 g/cm3


(5)
Computed, not measured: crystalline Er4TiGa12 at its relaxed geometry at the PBE level of DFT.

CIF file:
```
data_Er4TiGa12
_chemical_formula_sum 'Er8 Ti2 Ga24'
_cell_length_a 8.653
_cell_length_b 8.653
_cell_length_c 8.653
_cell_angle_alpha 90.00
_cell_angle_beta 90.00
_cell_angle_gamma 90.00
_symmetry_space_group_name_H-M 'I m -3 m'
_symmetry_Int_Tables_number 229
_symmetry_space_group_name_Hall '-I 4 2 3'
loop_
_atom_site_label
_atom_site_type_symbol
_atom_site_fract_x
_atom_site_fract_y
_atom_site_fract_z
_atom_site_occupancy
Er1 Er 0.250 0.250 0.250 1
Ti1 Ti 0.000 0.000 0.000 1
Ga1 Ga 0.000 0.000 0.296 1
Ga2 Ga 0.000 0.250 0.500 1
```

## Properties
Volume: 648 Å³ per cell
Fermi-level density of states: 15.18 states/eV per cell
Total magnetic moment: 0.00 μB per formula unit
E_form: -0.514 eV per atom
ρ: 8.0 g/cm3


(6)
Computed, not measured: crystalline Cr4PbCl at its relaxed geometry at the PBE level of DFT.

CIF file:
```
data_Cr4PbCl
_chemical_formula_sum 'Cr16 Pb4 Cl4'
_cell_length_a 7.160
_cell_length_b 7.160
_cell_length_c 7.160
_cell_angle_alpha 90.00
_cell_angle_beta 90.00
_cell_angle_gamma 90.00
_symmetry_space_group_name_H-M 'F -4 3 m'
_symmetry_Int_Tables_number 216
_symmetry_space_group_name_Hall 'F -4 2 3'
loop_
_atom_site_label
_atom_site_type_symbol
_atom_site_fract_x
_atom_site_fract_y
_atom_site_fract_z
_atom_site_occupancy
Cr1 Cr 0.117 0.117 0.383 1
Pb1 Pb 0.000 0.000 0.000 1
Cl1 Cl 0.250 0.250 0.750 1
```

## Properties
Volume: 367 Å³ per cell
Fermi-level density of states: 31.12 states/eV per cell
Total magnetic moment: 0.01 μB per formula unit
Energy relative to the elements, uncorrected: 918 meV/atom
ρ: 8.2 g/cm3


(7)
Computed, not measured: crystalline SrTlAgO3 at its relaxed geometry at the PBE level of DFT.

CIF file:
```
data_SrTlAgO3
_chemical_formula_sum 'Sr4 Tl4 Ag4 O12'
_cell_length_a 10.514
_cell_length_b 6.937
_cell_length_c 6.525
_cell_angle_alpha 90.00
_cell_angle_beta 117.37
_cell_angle_gamma 90.00
_symmetry_space_group_name_H-M 'C 1 2/m 1'
_symmetry_Int_Tables_number 12
loop_
_symmetry_equiv_pos_as_xyz
'x,y,z'
'-x,-y,-z'
'-x,y,-z'
'x,-y,z'
'x+1/2,y+1/2,z'
'-x+1/2,-y+1/2,-z'
'-x+1/2,y+1/2,-z'
'x+1/2,-y+1/2,z'
loop_
_atom_site_label
_atom_site_type_symbol
_atom_site_fract_x
_atom_site_fract_y
_atom_site_fract_z
_atom_site_occupancy
Sr1 Sr 0.206 0.000 0.106 1
Tl1 Tl 0.093 0.500 0.260 1
Ag1 Ag 0.000 0.207 0.500 1
O1 O 0.088 0.288 0.870 1
O2 O 0.195 0.000 0.490 1
```

## Properties
Volume: 423 Å³ per cell
Fermi-level density of states: 6.29 states/eV per cell
Total magnetic moment: 0.00 μB per formula unit
Energy relative to the elements, uncorrected: -1046 meV/atom
ρ: 7.0 g/cm3


(8)
Computed, not measured: crystalline AgSe4Cl at its relaxed geometry at the PBE level of DFT.

CIF file:
```
data_AgSe4Cl
_chemical_formula_sum 'Ag1 Se4 Cl1'
_cell_length_a 4.079
_cell_length_b 5.439
_cell_length_c 7.867
_cell_angle_alpha 74.65
_cell_angle_beta 87.36
_cell_angle_gamma 80.11
_symmetry_space_group_name_H-M 'P -1'
_symmetry_Int_Tables_number 2
loop_
_symmetry_equiv_pos_as_xyz
'x,y,z'
'-x,-y,-z'
loop_
_atom_site_label
_atom_site_type_symbol
_atom_site_fract_x
_atom_site_fract_y
_atom_site_fract_z
_atom_site_occupancy
Ag1 Ag 0.000 0.000 0.000 1
Se1 Se 0.351 0.481 0.638 1
Se2 Se 0.478 0.956 0.237 1
Cl1 Cl 0.000 0.500 0.000 1
```

## Properties
Volume: 166 Å³ per cell
Fermi-level density of states: 3.26 states/eV per cell
Total magnetic moment: 0.00 μB per formula unit
Energy relative to the elements, uncorrected: -48 meV/atom
ρ: 4.6 g/cm3


What is the total magnetic moment in the sixth record? 0.01 μB per formula unit


What is the volume in the second record? 83 Å³ per cell


Fermi-level density of states of number 6 (Cr4PbCl)? 31.12 states/eV per cell


Which of these has the lowest Fermi-level density of states? K3ZrTe